(1)
This record from the Alexandria database describes BaZr2Mo after structural relaxation. The functional is PBE.

Computed properties:
Its density of states at the Fermi level is 6.54 states/eV/f.u. For the formation energy, the calculation gives 0.908 eV/atom. The energy above the most stable polymorph in this dataset is 253 kJ/mol of formula units. The density is 7.18 g cm⁻³. Its magnetic moment is 0.86 μB per formula unit.

Unit cell a=5.1417 b=5.1417 c=5.1417 alpha=60.00 beta=60.00 gamma=60.00
Closest atoms and distances in Å follow each position.
Fractional positions:
Ba (0.5000, 0.5000, 0.5000)  4 Mo 3.15, 4 Zr 3.15
Mo (0.7500, 0.7500, 0.7500)  4 Zr 3.15, 4 Ba 3.15
Zr (0.0000, 0.0000, 0.0000)  4 Zr 3.15, 4 Mo 3.15
Zr (0.2500, 0.2500, 0.2500)  4 Zr 3.15, 4 Ba 3.15

=====

(2)
This record from the Alexandria database describes LaSc2 after structural relaxation. The functional is PBE.

Computed properties:
Its density of states at the Fermi level is 5.73 states/eV/f.u. For the formation energy, the calculation gives 0.092 eV/atom. The energy above the most stable polymorph in this dataset is 9 kJ/mol of formula units. The density is 4.45 g cm⁻³. Its magnetic moment is 0.00 μB per formula unit.

Unit cell a=3.3188 b=5.4478 c=5.4478 alpha=120.00 beta=90.00 gamma=90.00
Closest atoms and distances in Å follow each position.
Fractional positions:
La (0.5000, 0.0000, 0.0000)  2 La 3.32, 12 Sc 3.56
Sc (0.0000, 0.3333, 0.6667)  5 Sc 3.15-3.32
Sc (0.0000, 0.6667, 0.3333)  5 Sc 3.15-3.32

=====

(3)
This record from the Alexandria database describes La2Pr2Sm2Dy after structural relaxation. The functional is PBE.

Computed properties:
Its density of states at the Fermi level is 12.13 states/eV/f.u. For the formation energy, the calculation gives 0.020 eV/atom. The density is 6.89 g cm⁻³. Its magnetic moment is 0.00 μB per formula unit.

Unit cell a=5.2064 b=6.3594 c=8.2398 alpha=97.52 beta=90.00 gamma=114.16
Closest atoms and distances in Å follow each position.
Fractional positions:
La (0.1421, 0.2842, 0.4258)  1 Dy 3.66, 5 Sm 3.66-3.71, 3 La 3.68-3.70, 3 Pr 3.68-3.72
La (0.8579, 0.7158, 0.5742)  1 Dy 3.66, 5 Sm 3.66-3.71, 3 La 3.68-3.70, 3 Pr 3.68-3.72
Pr (0.7146, 0.4293, 0.1406)  4 Sm 3.66-3.68, 2 Pr 3.66, 3 Dy 3.66-3.67, 3 La 3.68-3.72
Pr (0.2854, 0.5707, 0.8594)  4 Sm 3.66-3.68, 2 Pr 3.66, 3 Dy 3.66-3.67, 3 La 3.68-3.72
Sm (0.5702, 0.1405, 0.7161)  4 Pr 3.66-3.68, 5 La 3.66-3.71, 2 Dy 3.67, 1 Sm 3.70
Sm (0.4298, 0.8595, 0.2839)  4 Pr 3.66-3.68, 5 La 3.66-3.71, 2 Dy 3.67, 1 Sm 3.70
Dy (0.0000, 0.0000, 0.0000)  2 La 3.66, 6 Pr 3.66-3.67, 4 Sm 3.67

=====

(4)
This record from the Alexandria database describes Pm4Dy3Y after structural relaxation. The functional is PBE.

Computed properties:
Its density of states at the Fermi level is 14.70 states/eV/f.u. For the formation energy, the calculation gives 0.024 eV/atom. The energy above the most stable polymorph in this dataset is 0 kJ/mol of formula units. The density is 7.18 g cm⁻³. Its magnetic moment is 0.00 μB per formula unit.

Unit cell a=6.3229 b=7.3275 c=11.5490 alpha=90.00 beta=90.00 gamma=90.00
Closest atoms and distances in Å follow each position.
Fractional positions:
Pm (0.1461, 0.8737, 0.0000)  6 Pm 3.57-3.68, 4 Dy 3.58-3.67, 2 Y 3.64-3.69
Pm (0.6486, 0.1273, 0.0000)  4 Dy 3.58-3.70, 6 Pm 3.58-3.68, 2 Y 3.65
Pm (0.9806, 0.1269, 0.2513)  6 Pm 3.57-3.67, 5 Dy 3.57-3.70, 1 Y 3.59
Pm (0.4806, 0.8731, 0.2487)  6 Pm 3.57-3.67, 5 Dy 3.57-3.70, 1 Y 3.59
Pm (0.1486, 0.8727, 0.5000)  4 Dy 3.58-3.70, 6 Pm 3.58-3.68, 2 Y 3.65
Pm (0.6461, 0.1263, 0.5000)  6 Pm 3.57-3.68, 4 Dy 3.58-3.67, 2 Y 3.64-3.69
Pm (0.4806, 0.8731, 0.7513)  6 Pm 3.57-3.67, 5 Dy 3.57-3.70, 1 Y 3.59
Pm (0.9806, 0.1269, 0.7487)  6 Pm 3.57-3.67, 5 Dy 3.57-3.70, 1 Y 3.59
Dy (0.6477, 0.6223, 0.0000)  4 Dy 3.56-3.58, 6 Pm 3.57-3.70, 2 Y 3.63-3.64
Dy (0.9815, 0.6227, 0.2499)  4 Dy 3.56-3.64, 2 Y 3.56-3.57, 6 Pm 3.58-3.70
Dy (0.4815, 0.3773, 0.2501)  4 Dy 3.56-3.64, 2 Y 3.56-3.57, 6 Pm 3.58-3.70
Dy (0.1477, 0.3777, 0.5000)  4 Dy 3.56-3.58, 6 Pm 3.57-3.70, 2 Y 3.63-3.64
Dy (0.4815, 0.3773, 0.7499)  4 Dy 3.56-3.64, 2 Y 3.56-3.57, 6 Pm 3.58-3.70
Dy (0.9815, 0.6227, 0.7501)  4 Dy 3.56-3.64, 2 Y 3.56-3.57, 6 Pm 3.58-3.70
Y (0.1487, 0.3774, 0.0000)  6 Dy 3.56-3.64, 6 Pm 3.59-3.69
Y (0.6487, 0.6226, 0.5000)  6 Dy 3.56-3.64, 6 Pm 3.59-3.69

=====

(5)
This record from the Alexandria database describes Sm5Dy3Tm after structural relaxation. The functional is PBE.

Computed properties:
Its density of states at the Fermi level is 12.57 states/eV/f.u. For the formation energy, the calculation gives 0.174 eV/atom. The energy above the most stable polymorph in this dataset is 0 kJ/mol of formula units. The density is 7.85 g cm⁻³. Its magnetic moment is 0.00 μB per formula unit.

Unit cell a=6.7224 b=12.0917 c=11.5357 alpha=136.10 beta=90.00 gamma=106.14
Closest atoms and distances in Å follow each position.
Fractional positions:
Sm (0.3132, 0.0000, 0.7500)  1 Tm 3.03, 2 Sm 3.04
Sm (0.7368, 0.6557, 0.0030)  2 Sm 3.04-3.40, 2 Dy 3.32
Sm (0.6102, 0.2197, 0.1699)  4 Sm 3.38-3.61, 5 Dy 3.48-3.76, 1 Tm 3.75
Sm (0.2632, 0.3443, 0.9970)  2 Sm 3.04-3.40, 2 Dy 3.32
Sm (0.3905, 0.7803, 0.3301)  4 Sm 3.38-3.61, 5 Dy 3.48-3.76, 1 Tm 3.75
Sm (0.6868, 0.0000, 0.2500)  1 Tm 3.03, 2 Sm 3.04
Sm (0.9189, 0.6557, 0.5030)  2 Sm 3.04-3.40, 2 Dy 3.32
Sm (0.0811, 0.3443, 0.4970)  2 Sm 3.04-3.40, 2 Dy 3.32
Sm (0.6095, 0.2197, 0.6699)  4 Sm 3.38-3.61, 5 Dy 3.48-3.76, 1 Tm 3.75
Sm (0.3898, 0.7803, 0.8301)  4 Sm 3.38-3.61, 5 Dy 3.48-3.76, 1 Tm 3.75
Dy (0.0000, 0.0000, 0.0000)  2 Tm 3.29, 2 Sm 3.57
Dy (0.3603, 0.5226, 0.3939)  7 Sm 3.32-3.64, 1 Dy 3.51
Dy (0.0000, 0.0000, 0.5000)  2 Tm 3.29, 2 Sm 3.57
Dy (0.6397, 0.4774, 0.6061)  7 Sm 3.32-3.64, 1 Dy 3.51
Dy (0.1622, 0.5226, 0.8939)  7 Sm 3.32-3.64, 1 Dy 3.51
Dy (0.8378, 0.4774, 0.1061)  7 Sm 3.32-3.64, 1 Dy 3.51
Tm (0.7639, 0.0000, 0.7500)  1 Sm 3.03, 2 Dy 3.29
Tm (0.2361, 0.0000, 0.2500)  1 Sm 3.03, 2 Dy 3.29

=====

(6)
This record from the Alexandria database describes Ac2ScGe4Ir3 after structural relaxation. The functional is PBE.

Computed properties:
Its density of states at the Fermi level is 4.48 states/eV/f.u. For the formation energy, the calculation gives -0.749 eV/atom. The density is 10.86 g cm⁻³. Its magnetic moment is 0.00 μB per formula unit.

Unit cell a=4.3834 b=4.3834 c=10.8698 alpha=90.00 beta=90.00 gamma=90.00
Closest atoms and distances in Å follow each position.
Fractional positions:
Ac (0.5000, 0.0000, 0.2366)  8 Ge 3.35-3.38, 6 Ir 3.36-3.61, 2 Sc 3.61
Ac (0.0000, 0.5000, 0.7634)  8 Ge 3.35-3.38, 6 Ir 3.36-3.61, 2 Sc 3.61
Sc (0.5000, 0.5000, 0.5000)  4 Ge 2.72
Ge (0.5000, 0.5000, 0.0000)  4 Ir 2.54
Ge (0.0000, 0.0000, 0.0000)  4 Ir 2.54
Ge (0.5000, 0.0000, 0.6475)  3 Ir 2.56-2.72, 2 Sc 2.72
Ge (0.0000, 0.5000, 0.3525)  3 Ir 2.56-2.72, 2 Sc 2.72
Ir (0.0000, 0.0000, 0.5000)  4 Ge 2.72
Ir (0.5000, 0.0000, 0.8828)  5 Ge 2.54-2.56
Ir (0.0000, 0.5000, 0.1172)  5 Ge 2.54-2.56